No. 1
A geometry-optimized NaPrPu2S4 structure, computed with GGA-PBE.

Unit cell a=6.9840 b=4.0333 c=7.0040 alpha=90.00 beta=109.41 gamma=90.00
With the nearest neighbours (Å) after each atom.
Sites, in units of the cell vectors:
Na 0.0000 0.0000 0.0000  6 S 2.89-2.91
Pr 0.5000 0.5000 0.0000  6 S 2.90
Pu 0.0000 0.5000 0.5000  6 S 2.81
Pu 0.5000 0.0000 0.5000  6 S 2.80-2.82
S 0.2455 0.0000 0.7388  3 Pu 2.81-2.82, 1 Na 2.89, 2 Pr 2.90
S 0.2559 0.5000 0.2630  3 Pu 2.80-2.81, 1 Pr 2.90, 2 Na 2.91
S 0.7441 0.5000 0.7370  3 Pu 2.80-2.81, 1 Pr 2.90, 2 Na 2.91
S 0.7545 0.0000 0.2612  3 Pu 2.81-2.82, 1 Na 2.89, 2 Pr 2.90

VASP energy, Ry/atom: -0.5990
Space-group type: P2/m
M_tot, μB/cell: 11.37
Formation energy from raw total energies, eV/atom: -1.740
N(E_F), states/eV per cell: 15.27

No. 2
A geometry-optimized Na4PrPu3S8 structure, computed with GGA-PBE.

Unit cell a=8.1333 b=8.1333 c=8.1333 alpha=60.15 beta=60.15 gamma=60.15
With the nearest neighbours (Å) after each atom.
Sites, in units of the cell vectors:
Na 0.0000 0.0000 0.0000  6 S 2.91
Na 0.0000 0.5000 0.5000  6 S 2.98-2.99
Na 0.5000 0.0000 0.5000  6 S 2.98-2.99
Na 0.5000 0.5000 0.0000  6 S 2.98-2.99
Pr 0.5000 0.5000 0.5000  6 S 2.85
Pu 0.0000 0.0000 0.5000  6 S 2.78
Pu 0.0000 0.5000 0.0000  6 S 2.78
Pu 0.5000 0.0000 0.0000  6 S 2.78
S 0.2359 0.7472 0.7472  2 Pu 2.78, 1 Pr 2.85, 3 Na 2.91-2.98
S 0.2408 0.2408 0.2408  3 Pu 2.78, 3 Na 2.99
S 0.2528 0.2528 0.7641  2 Pu 2.78, 1 Pr 2.85, 3 Na 2.91-2.98
S 0.2528 0.7641 0.2528  2 Pu 2.78, 1 Pr 2.85, 3 Na 2.91-2.98
S 0.7472 0.2359 0.7472  2 Pu 2.78, 1 Pr 2.85, 3 Na 2.91-2.98
S 0.7472 0.7472 0.2359  2 Pu 2.78, 1 Pr 2.85, 3 Na 2.91-2.98
S 0.7592 0.7592 0.7592  3 Pu 2.78, 3 Na 2.99
S 0.7641 0.2528 0.2528  2 Pu 2.78, 1 Pr 2.85, 3 Na 2.91-2.98

VASP energy, Ry/atom: -0.5130
Space-group type: R-3m
M_tot, μB/cell: 15.00
Formation energy from raw total energies, eV/atom: -1.600
N(E_F), states/eV per cell: 27.78

No. 3
A geometry-optimized Na3PrPu2S6 structure, computed with GGA-PBE.

Unit cell a=7.0729 b=7.0729 c=7.0592 alpha=99.63 beta=99.63 gamma=120.00
With the nearest neighbours (Å) after each atom.
Sites, in units of the cell vectors:
Na 0.0000 0.0000 0.0000  6 S 2.91-3.00
Na 0.3332 0.6668 0.0000  6 S 2.92-3.00
Na 0.6668 0.3332 0.0000  6 S 2.92-3.00
Pr 0.5000 0.5000 0.5000  6 S 2.86-2.87
Pu 0.1667 0.8333 0.5000  6 S 2.78-2.79
Pu 0.8333 0.1667 0.5000  6 S 2.78-2.79
S 0.0809 0.4236 0.2713  2 Pu 2.78, 1 Pr 2.86, 3 Na 2.92-3.00
S 0.2343 0.2343 0.7305  2 Pu 2.79, 1 Pr 2.87, 3 Na 2.91-2.99
S 0.4236 0.0809 0.2713  2 Pu 2.78, 1 Pr 2.86, 3 Na 2.92-3.00
S 0.5764 0.9191 0.7287  2 Pu 2.78, 1 Pr 2.86, 3 Na 2.92-3.00
S 0.7657 0.7657 0.2695  2 Pu 2.79, 1 Pr 2.87, 3 Na 2.91-2.99
S 0.9191 0.5764 0.7287  2 Pu 2.78, 1 Pr 2.86, 3 Na 2.92-3.00

VASP energy, Ry/atom: -0.4995
Space-group type: C2/m
M_tot, μB/cell: 10.00
Formation energy from raw total energies, eV/atom: -1.616
N(E_F), states/eV per cell: 18.22

The highest N(E_F) belongs to which entry?
Na4PrPu3S8